No. 1
! TmTlZn (PBE, optimized geometry); values from VASP
! energy = -17.596 eV for the cell shown
! calculated formation energy = -229 meV per atom
! spin magnetization = 0.000 μB/f.u.
&SYSTEM
  ibrav = 0, nat = 6, ntyp = 3
/
ATOMIC_SPECIES
Tm 168.93 Tm.upf
Tl 204.38 Tl.upf
Zn 65.41 Zn.upf
ATOMIC_POSITIONS crystal
Tm 0.250 0.250 0.202
Tm 0.750 0.750 0.798
Tl 0.250 0.250 0.763
Tl 0.750 0.750 0.237
Zn 0.250 0.750 0.500
Zn 0.750 0.250 0.500
CELL_PARAMETERS angstrom
4.465 0.000 0.000
0.000 4.465 0.000
0.000 0.000 7.026

---

No. 2
! TmTlZn (PBE, optimized geometry); values from VASP
! energy = -6.829 eV for the cell shown
! calculated formation energy = 428 meV per atom
! spin magnetization = 0.001 μB/f.u.
&SYSTEM
  ibrav = 0, nat = 3, ntyp = 3
/
ATOMIC_SPECIES
Tm 168.93 Tm.upf
Tl 204.38 Tl.upf
Zn 65.41 Zn.upf
ATOMIC_POSITIONS crystal
Tm 0.000 0.000 0.000
Tl 0.188 0.188 0.000
Zn 0.827 0.827 0.000
CELL_PARAMETERS angstrom
-1.582 1.582 8.416
1.582 -1.582 8.416
1.582 1.582 -8.416

---

No. 3
! Tm12Tl3Zn (PBE, optimized geometry); values from VASP
! energy = -64.085 eV for the cell shown
! calculated formation energy = -128 meV per atom
! spin magnetization = 0.427 μB/f.u.
&SYSTEM
  ibrav = 0, nat = 16, ntyp = 3
/
ATOMIC_SPECIES
Tm 168.93 Tm.upf
Tl 204.38 Tl.upf
Zn 65.41 Zn.upf
ATOMIC_POSITIONS crystal
Tm 0.000 0.000 0.000
Tm 0.000 0.000 0.247
Tm 0.000 0.000 0.500
Tm 0.000 0.000 0.753
Tm 0.000 0.500 0.119
Tm 0.000 0.500 0.374
Tm 0.000 0.500 0.626
Tm 0.000 0.500 0.881
Tm 0.500 0.000 0.119
Tm 0.500 0.000 0.374
Tm 0.500 0.000 0.626
Tm 0.500 0.000 0.881
Tl 0.500 0.500 0.247
Tl 0.500 0.500 0.500
Tl 0.500 0.500 0.753
Zn 0.500 0.500 0.000
CELL_PARAMETERS angstrom
4.767 0.000 0.000
0.000 4.767 0.000
0.000 0.000 19.045

---

What is the calculated formation energy in the third record? -128 meV per atom

---

Among the records above, which one has the highest calculated formation energy? number 2

---

Which value of spin magnetization does entry 1 give? 0.000 μB/f.u.